Here is a relaxed structure of Pm2PuSn from Alexandria via LeMat-Bulk. Energies are from PBE-GGA.

a = 4.6671 Å, b = 4.9578 Å, c = 4.9578 Å
α = 90.00°, β = 90.00°, γ = 90.00°
Fractional positions:
Pm 0.0000 0.0000 0.5000
Pm 0.0000 0.5000 0.0000
Sn 0.5000 0.0000 0.0000
Pu 0.5000 0.5000 0.5000

Results
**Spin magnetization**: 6.5 μB/f.u.
**SG**: P4/mmm
**Energy**: -7.291 eV per atom
**Crystal system**: tetragonal
**Distance to the lowest polymorph of the same formula**: 0 meV/atom
**ΔH_f (0 K)**: -0.33 eV/atom